Entry from the Alexandria database: a relaxed Tm2InGa2Pd5 crystal (PBE-GGA).

Values from the calculation:
**Electronic total energy**: -5.1211 eV/atom
**Total magnetic moment**: 0.00 μB per formula unit
**SG**: P4/mbm (127)

Unit cell a=3.772 b=9.828 c=9.828 alpha=90.00 beta=90.00 gamma=90.00
Fractional positions:
Tm 0.000 0.675 0.175
Tm 0.000 0.325 0.825
Tm 0.000 0.175 0.325
Tm 0.000 0.825 0.675
In 0.000 0.000 0.000
In 0.000 0.500 0.500
Ga 0.000 0.123 0.623
Ga 0.000 0.877 0.377
Ga 0.000 0.623 0.877
Ga 0.000 0.377 0.123
Pd 0.500 0.210 0.065
Pd 0.500 0.790 0.935
Pd 0.500 0.065 0.790
Pd 0.500 0.710 0.435
Pd 0.500 0.935 0.210
Pd 0.500 0.290 0.565
Pd 0.500 0.565 0.710
Pd 0.500 0.435 0.290
Pd 0.500 0.500 0.000
Pd 0.500 0.000 0.500